No. 1
The following is a GGA-PBE calculation of crystalline ZrAs2Pt at its relaxed geometry, from Alexandria via LeMat-Bulk.

```
ZrAs2Pt
1.0
3.871 0.000 0.000
0.000 3.366 -0.030
0.000 0.054 5.811
Zr As Pt
1 2 1
direct
0.500 0.750 0.750
0.000 0.250 0.981
0.000 0.250 0.519
0.500 0.250 0.250
```

Results
SG: No. 47
Size of the total moment (μB/cell): 0.0
Energy of formation (meV per atom): -547
Energy (eV/atom): -6.52


No. 2
The following is a GGA-PBE calculation of crystalline Na4AcHg5 at its relaxed geometry, from Alexandria via LeMat-Bulk.

```
Na4AcHg5
1.0
-2.447 -2.391 -1.696
-0.124 -2.123 3.171
-14.517 10.346 6.358
Na Hg Ac
4 5 1
direct
0.000 0.000 0.595
0.000 0.000 0.211
0.000 0.000 0.789
0.000 0.000 0.405
0.500 0.500 0.310
0.500 0.500 0.690
0.500 0.500 0.886
0.500 0.500 0.114
0.500 0.500 0.500
0.000 0.000 0.000
```

Results
SG: No. 123
Size of the total moment (μB/cell): 0.0
Energy of formation (meV per atom): -274
Energy (eV/atom): -1.36


No. 3
The following is a GGA-PBE calculation of crystalline Ga2IrPd3 at its relaxed geometry, from Alexandria via LeMat-Bulk.

```
Ga2IrPd3
1.0
5.000 0.000 -2.076
-0.863 4.861 -2.078
0.201 0.309 7.544
Pd Ga Ir
6 4 2
direct
0.927 0.177 0.354
0.500 0.750 0.000
0.073 0.823 0.646
0.573 0.323 0.646
0.500 0.250 0.000
0.427 0.677 0.354
0.619 0.866 0.732
0.113 0.366 0.732
0.887 0.634 0.268
0.381 0.134 0.268
0.000 0.750 0.000
0.000 0.250 0.000
```

Results
SG: No. 72
Size of the total moment (μB/cell): 0.0
Energy of formation (meV per atom): -357
Energy (eV/atom): -5.44